## HoSn3Se6 (PBE)

Data for a relaxed HoSn3Se6 crystal.

a = 11.719 Å, b = 4.041 Å, c = 12.476 Å
α = 90.00°, β = 111.67°, γ = 90.00°
Sites, in units of the cell vectors:
Ho1 0.207 0.250 0.047
Ho2 0.793 0.750 0.953
Sn1 0.039 0.750 0.273
Sn2 0.342 0.250 0.449
Sn3 0.388 0.750 0.834
Sn4 0.612 0.250 0.166
Sn5 0.658 0.750 0.551
Sn6 0.961 0.250 0.727
Se1 0.024 0.750 0.908
Se2 0.091 0.250 0.432
Se3 0.215 0.250 0.806
Se4 0.249 0.750 0.232
Se5 0.397 0.750 0.062
Se6 0.414 0.750 0.611
Se7 0.586 0.250 0.389
Se8 0.603 0.250 0.938
Se9 0.751 0.250 0.768
Se10 0.785 0.750 0.194
Se11 0.909 0.750 0.568
Se12 0.976 0.250 0.092

## Properties
The final energy comes out at -44.526 eV/f.u. The density of states at the Fermi level comes out at 2.9 states/eV/f.u. The symmetry is P2_1/m. As for the crystal system: monoclinic. The value obtained for the uncorrected formation energy is -0.703 eV per atom.